Compound: Li2Tl3Sn6
Source: Alexandria via LeMat-Bulk
Functional: GGA-PBE
Structure: relaxed

Summary:
- formation energy from the elements (eV per atom) = -0.05
- theoretical density (kg/m³) = 7090

```
data_Li2Tl3Sn6
_chemical_formula_sum 'Li8 Tl12 Sn24'
_cell_length_a 10.786
_cell_length_b 10.786
_cell_length_c 10.786
_cell_angle_alpha 90.00
_cell_angle_beta 90.00
_cell_angle_gamma 90.00
_space_group_name_H-M_alt 'I m -3 m'
_space_group_IT_number 229
_space_group_name_Hall '-I 4 2 3'
loop_
_atom_site_label
_atom_site_fract_x
_atom_site_fract_y
_atom_site_fract_z
_atom_site_occupancy
Li1 0.250 0.250 0.250 1
Tl1 0.000 0.000 0.254 1
Sn1 0.000 0.342 0.342 1
```